Here is a relaxed structure of ThBeTcC from Alexandria. Energies are from PBE-GGA.

The calculation puts the spin magnetization at 0.00 μB per formula unit. For the density of states at the Fermi level, the calculation gives 2.35 states/eV/f.u. Its formation energy is -21.3 kJ/mol of atoms.

The space group is P4/nmm (No. 129, origin choice 2) and the conventional cell measures 3.709, 3.709 and 8.933 Å, with angles of 90.00, 90.00 and 90.00 degrees. Symmetry generates all atoms from Th at (0.250, 0.250, 0.158), Be at (0.250, 0.250, 0.683), Tc at (0.250, 0.750, 0.500) and C at (0.250, 0.250, 0.875).

Here is a relaxed structure of BeTlTcC2 from Alexandria. Energies are from PBE-GGA.

The calculation puts the spin magnetization at 0.00 μB per formula unit. For the density of states at the Fermi level, the calculation gives 1.48 states/eV/f.u. Its formation energy is 157.9 kJ/mol of atoms.

The space group is P4/mmm (No. 123) and the conventional cell measures 3.914, 3.914 and 5.695 Å, with angles of 90.00, 90.00 and 90.00 degrees. Symmetry generates all atoms from Be at (0.000, 0.000, 0.000), Tl at (0.500, 0.500, 0.000), Tc at (0.500, 0.500, 0.500) and C at (0.000, 0.500, 0.500).

Number 1: ρ 9.5 g/cm³. Number 2: ρ 6.4 g/cm³.